[1]
Compound: BeSb2TeO
Source: Alexandria via LeMat-Bulk
Functional: GGA-PBE
Structure: optimized geometry

a = 4.6664 Å, b = 4.6664 Å, c = 4.9410 Å
α = 90.00°, β = 90.00°, γ = 90.00°
Last column: nearest neighbours and their distance in Å.
Element x y z (fractional)
Be 0.0000 0.0000 0.0000  4 Te 3.30, 8 Sb 3.40
Sb 0.0000 0.5000 0.5000  2 O 2.33
Sb 0.5000 0.0000 0.5000  2 O 2.33
Te 0.5000 0.5000 0.0000  2 O 2.47
O 0.5000 0.5000 0.5000  4 Sb 2.33, 2 Te 2.47

Summary:
Relative energy among the computed polymorphs   0.0000 eV per atom
Formation energy (no corrections)   0.462 eV per atom
Calculated density   6.11 g/cm3


[2]
Compound: Be2Tl3SbO6
Source: Alexandria via LeMat-Bulk
Functional: GGA-PBE
Structure: optimized geometry

a = 5.7207 Å, b = 5.7207 Å, c = 6.3519 Å
α = 90.00°, β = 90.00°, γ = 120.00°
Last column: nearest neighbours and their distance in Å.
Element x y z (fractional)
Be 0.3333 0.6667 0.2482  3 O 1.58
Be 0.6667 0.3333 0.7518  3 O 1.58
Tl 0.0000 0.0000 0.0000  6 O 2.35
Tl 0.3333 0.6667 0.7583  6 O 2.86, 1 Be 3.11
Tl 0.6667 0.3333 0.2417  6 O 2.86, 1 Be 3.11
Sb 0.0000 0.0000 0.5000  6 O 2.33
O 0.1737 0.3473 0.2521  1 Be 1.58
O 0.1737 0.8263 0.2521  1 Be 1.58
O 0.3473 0.1737 0.7479  1 Be 1.58
O 0.6527 0.8263 0.2521  1 Be 1.58
O 0.8263 0.1737 0.7479  1 Be 1.58
O 0.8263 0.6527 0.7479  1 Be 1.58

Summary:
Formation energy (no corrections)   -1.245 eV per atom
Calculated density   7.83 g/cm3


[3]
Compound: Be2Tl2SbO6
Source: Alexandria via LeMat-Bulk
Functional: GGA-PBE
Structure: optimized geometry

a = 6.4760 Å, b = 6.4760 Å, c = 6.4760 Å
α = 49.80°, β = 49.80°, γ = 49.80°
Last column: nearest neighbours and their distance in Å.
Element x y z (fractional)
Be 0.1009 0.1009 0.1009  3 O 1.55
Be 0.8991 0.8991 0.8991  3 O 1.55
Tl 0.2873 0.2873 0.2873  9 O 2.85-2.88, 1 Be 3.16
Tl 0.7127 0.7127 0.7127  9 O 2.85-2.88, 1 Be 3.16
Sb 0.5000 0.5000 0.5000  6 O 2.01
O 0.2328 0.7408 0.7408  1 Be 1.55
O 0.2592 0.2592 0.7672  1 Be 1.55
O 0.2592 0.7672 0.2592  1 Be 1.55
O 0.7408 0.2328 0.7408  1 Be 1.55
O 0.7408 0.7408 0.2328  1 Be 1.55
O 0.7672 0.2592 0.2592  1 Be 1.55

Summary:
Formation energy (no corrections)   -1.502 eV per atom
Calculated density   7.34 g/cm3


VASP energy? In order: -3.55, -5.28, -5.69 eV/atom.